Entry from the Alexandria database: a relaxed structure of Be2AgCl (PBE).

Computed properties:
Energy relative to the lowest polymorph listed for this composition = 0.434 eV per atom
Energy relative to the elements, uncorrected = 0.470 eV per atom
DOS at the Fermi energy = 0.347 states/eV per atom

Cell and atoms, written as POSCAR:
```
Be2AgCl
1.0
-2.186 -4.545 -0.330
1.324 -1.653 4.589
-2.868 3.165 -2.703
Be Ag Cl
2 1 1
direct
0.988 0.988 0.000
0.512 0.512 0.000
0.250 0.750 0.500
0.750 0.250 0.500
```